No. 1
First-principles (PBE-GGA) data for a geometry-optimized NiTe2I structure, as listed in Alexandria via LeMat-Bulk.

Properties
ΔE_f (raw)   0.078 eV per atom

Unit cell a=7.642 b=4.458 c=13.128 alpha=90.00 beta=90.00 gamma=90.00
Space group Pnma (No. 62)
One atom of each set of equivalent atoms:
Ni 0.046 0.250 0.122 x4
Te 0.137 0.750 0.043 x4
Te 0.207 0.750 0.750 x4
I 0.053 0.750 0.374 x4



No. 2
First-principles (PBE-GGA) data for a geometry-optimized LiFeNi2 structure, as listed in Alexandria via LeMat-Bulk.

Properties
E_form   0.025 eV per atom

Unit cell a=2.695 b=4.127 c=8.308 alpha=90.00 beta=90.00 gamma=90.00
Space group Cmmm (No. 65)
One atom of each set of equivalent atoms:
Li 0.000 0.000 0.000 x2
Fe 0.000 0.000 0.500 x2
Ni 0.000 0.500 0.255 x4



Question: Number 1 is which compound?
Answer: NiTe2I